(1)
This record from the Alexandria database describes an optimized crystal structure of ZnH3Cl. The functional is GGA-PBE.

Cell and atoms, written as CIF:
```
data_ZnH3Cl
_chemical_formula_sum 'Zn1 H3 Cl1'
_symmetry_space_group_name_H-M 'P m -3 m'
_symmetry_Int_Tables_number 221
_symmetry_space_group_name_Hall '-P 4 2 3'
_cell_length_a 3.7772
_cell_length_b 3.7772
_cell_length_c 3.7772
_cell_angle_alpha 90.00
_cell_angle_beta 90.00
_cell_angle_gamma 90.00
loop_
_atom_site_label
_atom_site_type_symbol
_atom_site_fract_x
_atom_site_fract_y
_atom_site_fract_z
Zn1 Zn 0.0000 0.0000 0.0000
H1 H 0.0000 0.5000 0.5000
Cl1 Cl 0.5000 0.5000 0.5000
```

Summary:
Crystal system: cubic
Relative energy among the computed polymorphs (meV/atom): 327.3

=====

(2)
This record from the Alexandria database describes an optimized crystal structure of In2POs. The functional is GGA-PBE.

Cell and atoms, written as CIF:
```
data_In2POs
_chemical_formula_sum 'In4 P2 Os2'
_symmetry_space_group_name_H-M 'C m m m'
_symmetry_Int_Tables_number 65
_symmetry_space_group_name_Hall '-C 2 2'
_cell_length_a 5.9096
_cell_length_b 7.8702
_cell_length_c 3.1022
_cell_angle_alpha 90.00
_cell_angle_beta 90.00
_cell_angle_gamma 90.00
loop_
_atom_site_label
_atom_site_type_symbol
_atom_site_fract_x
_atom_site_fract_y
_atom_site_fract_z
In1 In 0.2500 0.2500 0.0000
P1 P 0.0000 0.0000 0.5000
Os1 Os 0.0000 0.5000 0.5000
```

Summary:
Crystal system: orthorhombic
Calculated formation energy (kJ per mole of atoms): 53

=====

(3)
This record from the Alexandria database describes an optimized crystal structure of Dy3CdCu8. The functional is GGA-PBE.

Cell and atoms, written as CIF:
```
data_Dy3CdCu8
_chemical_formula_sum 'Dy3 Cd1 Cu8'
_symmetry_space_group_name_H-M 'P 3 m 1'
_symmetry_Int_Tables_number 156
_cell_length_a 5.1902
_cell_length_b 5.1902
_cell_length_c 8.4681
_cell_angle_alpha 90.00
_cell_angle_beta 90.00
_cell_angle_gamma 120.00
loop_
_symmetry_equiv_pos_as_xyz
'x,y,z'
'-y,x-y,z'
'-x+y,-x,z'
'-y,-x,z'
'-x+y,y,z'
'x,x-y,z'
loop_
_atom_site_label
_atom_site_type_symbol
_atom_site_fract_x
_atom_site_fract_y
_atom_site_fract_z
Dy1 Dy 0.0000 0.0000 0.0000
Dy2 Dy 0.0000 0.0000 0.3877
Dy3 Dy 0.3333 0.6667 0.8550
Cd1 Cd 0.3333 0.6667 0.4870
Cu1 Cu 0.0020 0.5010 0.1843
Cu2 Cu 0.3355 0.1678 0.6851
Cu3 Cu 0.6667 0.3333 0.4368
Cu4 Cu 0.6667 0.3333 0.9380
```

Summary:
Crystal system: trigonal
Relative energy among the computed polymorphs (meV/atom): 0.0
Calculated formation energy (kJ per mole of atoms): -21

=====

(4)
This record from the Alexandria database describes an optimized crystal structure of TlOsCl. The functional is GGA-PBE.

Cell and atoms, written as CIF:
```
data_TlOsCl
_chemical_formula_sum 'Tl1 Os1 Cl1'
_symmetry_space_group_name_H-M 'P 3 m 1'
_symmetry_Int_Tables_number 156
_cell_length_a 3.3041
_cell_length_b 3.3041
_cell_length_c 7.4165
_cell_angle_alpha 90.00
_cell_angle_beta 90.00
_cell_angle_gamma 120.00
loop_
_symmetry_equiv_pos_as_xyz
'x,y,z'
'-y,x-y,z'
'-x+y,-x,z'
'-y,-x,z'
'-x+y,y,z'
'x,x-y,z'
loop_
_atom_site_label
_atom_site_type_symbol
_atom_site_fract_x
_atom_site_fract_y
_atom_site_fract_z
Tl1 Tl 0.0000 0.0000 0.0000
Os1 Os 0.3333 0.6667 0.6587
Cl1 Cl 0.6667 0.3333 0.4848
```

Summary:
Crystal system: trigonal
Relative energy among the computed polymorphs (meV/atom): 42.2

=====

Listing calculated volume for the structures above in their given order: 10.78 18.04 16.46 23.37 Å³/atom.